DyTm2In | GGA-PBE | optimized geometry

Relative energy among the computed polymorphs (eV/atom): 0.1636
Total moment (μB per cell): 0.9
Space-group type: Fm-3m, No. 225
DFT total energy (eV/atom): -4.168
ΔE_f (eV/atom): -0.097
Volume (A^3/atom): 27.8
Crystal system: cubic

```
DyTm2In
1.0
5.3973 0.0000 0.0000
2.6986 4.6742 0.0000
2.6986 1.5581 4.4069
Dy Tm In
1 2 1
Cartesian
0.0000 0.0000 0.0000
2.6986 1.5581 1.1017
8.0959 4.6742 3.3051
5.3973 3.1161 2.2034
```


Dy2Tm12In | GGA-PBE | optimized geometry

Total moment (μB per cell): 0.0
Space-group type: P2/m, No. 10
DFT total energy (eV/atom): -4.311
ΔE_f (eV/atom): 0.063
Volume (A^3/atom): 30.3
Crystal system: monoclinic

```
Dy2Tm12In
1.0
-3.5822 5.3018 -1.4119
-5.6634 -1.2209 -3.0610
-9.8739 1.0795 21.3946
Tm Dy In
24 4 2
Cartesian
-15.6409 3.7889 15.3069
-10.4207 1.6651 9.4053
-6.6933 0.8812 7.8125
-8.6989 3.4954 7.5163
-3.4784 1.3716 1.6146
-8.1013 3.4119 -0.6216
-11.1584 3.0866 12.2280
-7.8034 2.2387 11.3456
-6.9205 5.3351 5.5183
-9.3800 4.9264 10.2300
-12.1994 -0.1745 11.4032
-12.5940 2.8140 14.9458
-12.4267 4.2787 9.1099
-7.9606 2.0736 4.6939
-11.3155 2.9221 5.5753
-9.7394 0.2340 6.6918
-6.5256 2.3465 1.9758
-11.0183 1.7484 17.5436
-11.5533 6.0753 15.7704
-7.5661 -0.9149 1.1513
-14.4910 0.9313 17.1497
-5.6691 0.9678 -1.0526
-4.6283 4.2290 -0.2279
-13.4505 4.1927 17.9742
-14.6607 2.3630 11.9798
-9.0815 4.8378 2.7055
-10.0376 0.3226 14.2156
-4.4591 2.7974 4.9425
-17.3283 2.5096 17.6275
-6.4139 4.6913 -2.9423
```


Dy2Tm5In | GGA-PBE | optimized geometry

Total moment (μB per cell): 0.0
Space-group type: Cmcm, No. 63
DFT total energy (eV/atom): -4.323
ΔE_f (eV/atom): -0.035
Volume (A^3/atom): 30.1
Crystal system: orthorhombic

```
Dy2Tm5In
1.0
5.3597 0.0000 0.0000
-2.6799 5.8897 0.0000
0.0000 0.0000 15.2584
Tm In Dy
10 2 4
Cartesian
2.6799 1.2998 8.4453
2.6799 0.3243 3.8146
0.0000 0.9985 6.2799
2.6799 4.8912 13.9091
0.0000 5.5654 11.4438
0.0000 4.5899 0.8161
0.0000 4.5899 6.8131
0.0000 0.9985 1.3493
2.6799 1.2998 14.4423
2.6799 4.8912 8.9785
0.0000 2.9446 3.8146
2.6799 2.9451 11.4438
2.6799 3.3111 2.0344
2.6799 3.3111 5.5948
0.0000 2.5786 9.6636
0.0000 2.5786 13.2240
```


DyTm3In | GGA-PBE | optimized geometry

Relative energy among the computed polymorphs (eV/atom): 0.0937
Total moment (μB per cell): 0.0
Space-group type: Pmmn, No. 59
DFT total energy (eV/atom): -4.234
ΔE_f (eV/atom): -0.083
Volume (A^3/atom): 29.9
Crystal system: orthorhombic

```
DyTm3In
1.0
-4.6597 2.3267 0.7605
-1.7024 -5.4529 6.2525
2.8125 4.1886 4.4187
Dy Tm In
2 6 2
Cartesian
-0.8699 -1.1671 7.3490
-2.6797 2.2295 4.0827
0.4160 2.2067 4.9057
-2.9282 -0.1562 9.8589
-2.2787 1.9245 7.4731
-0.6213 1.2185 1.5728
-3.9656 -1.1444 6.5260
-1.2709 -0.8622 3.9586
0.3661 0.6734 9.2907
-3.9156 0.3889 2.1409
```


Dy2Tm6In | GGA-PBE | optimized geometry

Relative energy among the computed polymorphs (eV/atom): 0.0000
Total moment (μB per cell): 0.0
Space-group type: C2/m, No. 12
DFT total energy (eV/atom): -4.377
ΔE_f (eV/atom): -0.069
Volume (A^3/atom): 29.6
Crystal system: monoclinic

```
Dy2Tm6In
1.0
3.5287 0.0000 0.0000
-1.7643 5.2344 -2.5703
0.0000 0.4672 14.1797
Tm Dy In
6 2 1
Cartesian
0.0000 0.1918 4.6394
1.7643 5.5098 6.9700
0.0000 3.7114 4.5595
0.0000 3.7274 -0.3351
1.7643 1.9902 7.0500
1.7643 1.9742 11.9446
0.0000 3.7875 9.4945
1.7643 1.9141 2.1149
0.0000 0.0000 0.0000
```


Dy8Tm2In3 | GGA-PBE | optimized geometry

Total moment (μB per cell): 2.2
Space-group type: R-3m, No. 166
DFT total energy (eV/atom): -4.016
ΔE_f (eV/atom): 0.136
Volume (A^3/atom): 31.4
Crystal system: trigonal

```
Dy8Tm2In3
1.0
6.3832 0.0000 0.0000
3.1916 5.5280 0.0000
3.1916 1.8427 11.5828
In Dy Tm
3 8 2
Cartesian
0.0000 0.0000 0.0000
9.5748 5.5280 6.5640
3.1916 1.8427 5.0189
7.9754 4.6046 3.9437
4.7910 4.6046 3.9437
9.5748 5.5280 9.5617
6.3832 1.8468 3.9437
7.9754 2.7661 7.6391
3.1916 1.8427 2.0211
4.7910 2.7661 7.6391
6.3832 5.5238 7.6391
6.3832 3.6853 10.4947
6.3832 3.6853 1.0881
```


Dy5TmIn4 | GGA-PBE | optimized geometry

Total moment (μB per cell): 0.0
Space-group type: P4/mmm, No. 123
DFT total energy (eV/atom): -4.217
ΔE_f (eV/atom): -0.374
Volume (A^3/atom): 27.5
Crystal system: tetragonal

```
Dy5TmIn4
1.0
-0.0466 1.8936 3.0207
-3.5484 0.2682 -0.2228
-2.0974 -18.2626 11.4156
In Dy Tm
4 5 1
Cartesian
-0.8452 -7.3594 4.6002
-1.2522 -10.9032 6.8154
-0.4388 -3.8210 2.3884
-1.6586 -14.4417 9.0272
-3.2535 -11.5967 9.3234
-2.4389 -4.5041 4.8900
-2.8462 -8.0504 7.1067
-2.0338 -0.9768 2.6852
-3.6586 -15.1240 11.5283
0.0000 0.0000 0.0000
```


Dy5Tm12In2 | GGA-PBE | optimized geometry

Total moment (μB per cell): 0.0
Space-group type: C2/m, No. 12
DFT total energy (eV/atom): -4.328
ΔE_f (eV/atom): -0.004
Volume (A^3/atom): 30.2
Crystal system: monoclinic

```
Dy5Tm12In2
1.0
9.1846 0.0000 0.0000
-4.5923 7.5395 1.1902
0.0000 -1.4594 8.0550
Tm Dy In
12 5 2
Cartesian
0.0000 -0.0109 7.3345
4.5923 0.3277 2.7438
1.6977 1.9048 2.2746
2.7943 0.9290 5.6313
1.7980 5.1510 3.6138
-2.8946 4.1752 6.9705
-1.7980 5.1510 3.6138
7.4870 1.9048 2.2746
6.3904 0.9290 5.6313
0.0000 5.7524 6.5013
2.8946 4.1752 6.9705
4.5923 6.0910 1.9107
4.5923 2.8764 0.5086
0.0000 -0.7297 4.0275
0.0000 2.6979 5.2225
0.0000 3.2037 8.7365
4.5923 3.3821 4.0227
2.9188 0.0000 0.0000
6.2658 0.0000 0.0000
```


DyTmIn3 | GGA-PBE | optimized geometry

Total moment (μB per cell): 0.0
Space-group type: I-4m2, No. 119
DFT total energy (eV/atom): -3.298
ΔE_f (eV/atom): 0.160
Volume (A^3/atom): 36.9
Crystal system: tetragonal

```
DyTmIn3
1.0
5.8039 0.0000 0.0000
0.0000 5.8039 0.0000
-2.9020 -2.9020 10.9481
In Tm Dy
6 2 2
Cartesian
1.4374 2.9020 8.2587
0.0000 4.3394 2.6893
0.0000 1.4645 2.6893
0.0000 0.0000 5.6576
2.9020 2.9020 5.2904
-1.4374 2.9020 8.2587
2.9020 0.0000 7.2308
2.9020 0.0000 3.7172
0.0000 0.0000 0.0000
0.0000 2.9020 5.4740
```


Dy4TmIn4 | GGA-PBE | optimized geometry

Total moment (μB per cell): 0.0
Space-group type: P4_2/n, No. 86
DFT total energy (eV/atom): -4.022
ΔE_f (eV/atom): -0.263
Volume (A^3/atom): 27.9
Crystal system: tetragonal

```
Dy4TmIn4
1.0
-1.5962 1.5565 -5.5305
-7.0606 -5.8527 0.3906
-5.3263 6.6531 3.4097
Dy In Tm
8 8 2
Cartesian
-9.9403 -0.1204 -1.1582
-5.5170 -1.6665 -1.3128
-4.4293 2.8543 -1.9115
-11.0343 3.6558 -1.4372
-4.2384 4.1851 1.6225
-8.5351 -3.0077 0.8383
-8.0794 3.6465 0.9220
-4.1584 -0.1194 -4.4841
-4.3881 1.0968 0.8634
-5.9256 5.6518 -0.6255
-8.4109 -2.9502 -2.3292
-2.6034 0.0817 -1.7285
-7.9884 3.7363 -2.3604
-8.3522 0.0482 1.7124
-7.2375 -0.1675 -3.6758
-11.0263 1.9307 1.2228
-6.9915 1.1785 -0.8651
0.0000 0.0000 0.0000
```


Dy5Tm3In | GGA-PBE | optimized geometry

Total moment (μB per cell): 0.0
Space-group type: C2/m, No. 12
DFT total energy (eV/atom): -3.925
ΔE_f (eV/atom): 0.426
Volume (A^3/atom): 32.7
Crystal system: monoclinic

```
Dy5Tm3In
1.0
7.6902 0.9061 -0.8260
2.9768 7.1484 -0.8260
1.9926 1.5046 10.9446
Tm Dy In
6 10 2
Cartesian
8.6592 6.5385 7.5105
0.9963 0.7523 5.4723
4.0004 3.0207 1.7821
8.8113 6.6534 3.9936
3.8483 2.9058 5.2989
0.0000 0.0000 0.0000
6.1237 2.9808 -0.8260
6.0211 4.5465 3.1983
6.6385 5.0127 6.0943
6.8402 2.3277 7.6983
8.5484 3.6175 1.5943
4.1113 5.9417 7.6983
5.8194 7.2315 1.5943
8.1858 6.1810 -0.8708
4.4739 3.3782 10.1633
4.5433 5.0737 -0.8260
10.1453 7.6606 1.3278
2.5144 1.8986 7.9647
```


Dy12Tm3In | GGA-PBE | optimized geometry

Total moment (μB per cell): 0.0
Space-group type: P4/mmm, No. 123
DFT total energy (eV/atom): -4.508
ΔE_f (eV/atom): -0.047
Volume (A^3/atom): 30.5
Crystal system: tetragonal

```
Dy12Tm3In
1.0
4.9361 0.0000 0.0000
0.0000 4.9361 0.0000
0.0000 0.0000 20.0097
Dy Tm In
12 3 1
Cartesian
2.4680 0.0000 12.5315
0.0000 2.4680 7.4782
2.4680 0.0000 7.4782
2.4680 2.4680 0.0000
2.4680 2.4680 10.0048
2.4680 2.4680 15.0912
2.4680 0.0000 17.5713
2.4680 2.4680 4.9185
0.0000 2.4680 12.5315
2.4680 0.0000 2.4384
0.0000 2.4680 17.5713
0.0000 2.4680 2.4384
0.0000 0.0000 15.0307
0.0000 0.0000 10.0048
0.0000 0.0000 4.9790
0.0000 0.0000 0.0000
```


Dy2Tm2In | GGA-PBE | optimized geometry

Relative energy among the computed polymorphs (eV/atom): 0.2227
Total moment (μB per cell): 0.0
Space-group type: I4/mmm, No. 139
DFT total energy (eV/atom): -3.905
ΔE_f (eV/atom): 0.272
Volume (A^3/atom): 31.7
Crystal system: tetragonal

```
Dy2Tm2In
1.0
4.2952 0.0000 0.0000
0.0000 4.2952 0.0000
-2.1476 -2.1476 8.6015
Tm In Dy
2 1 2
Cartesian
0.0000 2.1476 4.3008
2.1476 0.0000 4.3008
0.0000 0.0000 0.0000
0.0000 0.0000 7.0454
2.1476 2.1476 1.5562
```


Dy2Tm6In | GGA-PBE | optimized geometry

Relative energy among the computed polymorphs (eV/atom): 0.0413
Total moment (μB per cell): 0.0
Space-group type: C2/c, No. 15
DFT total energy (eV/atom): -4.336
ΔE_f (eV/atom): -0.028
Volume (A^3/atom): 29.7
Crystal system: monoclinic

```
Dy2Tm6In
1.0
6.0362 -0.1503 -0.1455
1.2682 9.5212 1.2891
1.2682 1.5969 9.4744
Tm In Dy
12 2 4
Cartesian
7.3143 4.9314 6.9329
6.0647 1.2813 7.2730
3.0466 7.3858 1.1177
4.2962 7.1642 4.7769
4.2764 3.8036 5.8410
4.2314 9.8574 7.3375
5.5260 3.5819 9.5002
1.3231 3.3898 1.0763
1.2583 6.0364 3.6851
2.5079 9.6864 3.3450
7.2495 7.5779 9.5417
4.3412 1.1104 3.2804
2.7772 2.5903 8.3730
5.7954 8.3774 2.2449
1.2358 2.6929 4.3734
4.2539 4.3832 2.4771
7.3368 8.2748 6.2446
4.3187 6.5846 8.1409
```


DyTmIn6 | GGA-PBE | optimized geometry

Relative energy among the computed polymorphs (eV/atom): 0.0000
Total moment (μB per cell): 0.0
Space-group type: P4/mmm, No. 123
DFT total energy (eV/atom): -3.578
ΔE_f (eV/atom): -0.390
Volume (A^3/atom): 24.7
Crystal system: tetragonal

```
DyTmIn6
1.0
-1.6325 4.3257 0.0530
-1.0694 -0.3486 -4.4849
-8.3908 -3.1941 2.2491
Dy In Tm
1 6 1
Cartesian
-4.1954 -1.5971 1.1246
-6.8410 -2.5750 -0.5521
-2.6192 -0.9678 -1.6837
-5.5463 0.3915 -1.0914
-7.1226 -0.2378 1.7169
-2.9007 1.3694 0.5852
-1.3509 1.9885 -2.2159
0.0000 0.0000 0.0000
```


DyTm3In4 | GGA-PBE | optimized geometry

Total moment (μB per cell): 0.0
Space-group type: Pmma, No. 51
DFT total energy (eV/atom): -4.055
ΔE_f (eV/atom): -0.434
Volume (A^3/atom): 25.9
Crystal system: orthorhombic

```
DyTm3In4
1.0
5.4478 0.0000 0.0000
0.0000 7.1180 0.0000
0.0000 0.0000 10.6741
In Tm Dy
8 6 2
Cartesian
4.9753 1.7617 2.6685
0.4726 5.3562 8.0056
2.7239 1.7607 0.0000
2.7239 5.3572 0.0000
4.9753 5.3562 2.6685
0.4726 1.7617 8.0056
2.7239 1.7607 5.3370
2.7239 5.3572 5.3370
3.1349 3.5590 8.0056
0.0000 0.0000 0.0000
2.3129 3.5590 2.6685
2.2845 0.0000 2.6685
3.1633 0.0000 8.0056
0.0000 0.0000 5.3370
0.0000 3.5590 0.0000
0.0000 3.5590 5.3370
```


DyTm2In | GGA-PBE | optimized geometry

Relative energy among the computed polymorphs (eV/atom): 0.0000
Total moment (μB per cell): 0.0
Space-group type: P4/mmm, No. 123
DFT total energy (eV/atom): -4.332
ΔE_f (eV/atom): -0.261
Volume (A^3/atom): 27.7
Crystal system: tetragonal

```
DyTm2In
1.0
-1.9939 3.3462 -2.8096
-3.6815 0.3736 3.0577
2.3490 3.4231 2.4099
Tm Dy In
2 1 1
Cartesian
1.1745 1.7116 1.2049
-1.8408 0.1868 1.5289
-1.6632 3.5715 1.3290
-0.9970 1.6731 -1.4048
```


DyTm2In | GGA-PBE | optimized geometry

Relative energy among the computed polymorphs (eV/atom): 0.3486
Total moment (μB per cell): 0.7
Space-group type: R-3m, No. 166
DFT total energy (eV/atom): -3.983
ΔE_f (eV/atom): 0.088
Volume (A^3/atom): 30.3
Crystal system: trigonal

```
DyTm2In
1.0
-0.0445 3.2625 1.1002
-2.9548 1.7676 0.0271
-3.1335 -2.0582 11.3648
Dy Tm In
1 2 1
Cartesian
0.0000 0.0000 0.0000
-2.5223 -0.9884 8.2171
-3.6104 3.9602 4.2749
-3.0664 1.4859 6.2460
```


DyTmIn4 | GGA-PBE | optimized geometry

Relative energy among the computed polymorphs (eV/atom): 0.0000
Total moment (μB per cell): 0.0
Space-group type: F-43m, No. 216
DFT total energy (eV/atom): -3.628
ΔE_f (eV/atom): -0.290
Volume (A^3/atom): 25.2
Crystal system: cubic

```
DyTmIn4
1.0
-3.9888 2.4394 3.7222
-5.4698 -2.3589 0.4820
-1.5822 -2.8818 4.9907
In Dy Tm
4 1 1
Cartesian
-4.1654 -0.5713 5.5059
-6.1095 -0.3098 3.2513
-6.9007 -1.7509 5.7470
-4.9061 -2.9707 3.8856
-2.7602 -0.7003 2.2987
0.0000 0.0000 0.0000
```


DyTm2In2 | GGA-PBE | optimized geometry

Relative energy among the computed polymorphs (eV/atom): 0.0587
Total moment (μB per cell): 0.0
Space-group type: Cmc2_1, No. 36
DFT total energy (eV/atom): -4.113
ΔE_f (eV/atom): -0.309
Volume (A^3/atom): 27.3
Crystal system: orthorhombic

```
DyTm2In2
1.0
5.2840 0.0000 0.0000
0.0000 6.4641 0.0000
-2.6420 0.0000 7.9794
In Tm Dy
4 4 2
Cartesian
2.6420 5.5682 4.5919
2.6420 0.4301 1.6313
0.0000 3.6622 6.3481
0.0000 2.3362 3.3875
0.0000 5.5030 3.1367
2.6420 5.0152 7.5847
2.6420 2.2710 4.8428
0.0000 1.7831 0.3947
2.6420 3.7442 1.5680
0.0000 0.5122 6.4114
```